(1)
Computed, not measured: a relaxed structure of Tb2PmMg2 at the PBE level of DFT.

The structure belongs to space group P2_1/m (No. 11); the cell edges are 3.772, 5.499 and 14.126 Å and the angles 90.00°, 97.70° and 90.00°. The distinct sites, in fractional coordinates, are Tb at (0.045, 0.250, 0.089), Tb at (0.237, 0.250, 0.475), Pm at (0.151, 0.750, 0.301), Mg at (0.360, 0.750, 0.720) and Mg at (0.448, 0.250, 0.897).

***

(2)
Computed, not measured: a relaxed structure of Y3CdRe at the PBE level of DFT.

The structure belongs to space group Pm-3m (No. 221); the cell edges are 5.405, 5.405 and 5.405 Å and the angles 90.00°, 90.00° and 90.00°. The distinct sites, in fractional coordinates, are Y at (0.000, 0.000, 0.500), Cd at (0.500, 0.500, 0.500) and Re at (0.000, 0.000, 0.000).

***

Record-wise size of the total moment values, in μB per formula unit: 0.00; 0.00
Record-wise DFT formation energy values, in eV/atom: -0.07; 0.25